1.
Below is an optimized crystal structure of PrNdAl6, with properties calculated at the PBEsol level.

Calculated values
As for the crystal system: hexagonal. The space-group type is P-6m2, No. 187.

a b c (Å): 6.437 6.437 4.613
angles (deg): 90.00 90.00 120.00
Sites, in units of the cell vectors:
Pr  0.000  0.000  0.000
Nd  0.667  0.333  0.500
Al  0.048  0.524  0.000
Al  0.191  0.383  0.500
Al  0.191  0.809  0.500
Al  0.476  0.524  0.000
Al  0.476  0.952  0.000
Al  0.617  0.809  0.500


2.
Below is an optimized crystal structure of PrNdAl4, with properties calculated at the PBEsol level.

Calculated values
As for the crystal system: cubic. The space-group type is F-43m, No. 216.

a b c (Å): 5.646 5.646 5.646
angles (deg): 60.00 60.00 60.00
Sites, in units of the cell vectors:
Pr  0.000  0.000  0.000
Nd  0.750  0.750  0.750
Al  0.375  0.375  0.375
Al  0.375  0.375  0.875
Al  0.375  0.875  0.375
Al  0.875  0.375  0.375


Number 1: DFT formation energy -447 meV per atom. Number 2: DFT formation energy -506 meV per atom.